Here is CaTbPm2Y4 after structural relaxation from Alexandria. Energies are from PBE.

abc: 9.6598 9.6598 12.0317
angles: 128.54 128.54 88.26
Site moments in Bohr magnetons follow the coordinates.
Element x y z (fractional)
Pm 0.5000 0.5000 0.0000  0.16
Pm 0.0000 0.0000 0.5000  0.16
Pm 0.5000 0.0000 0.0000  0.25
Pm 0.5000 0.0000 0.5000  0.25
Tb 0.0000 0.5000 0.0000  0.26
Tb 0.0000 0.5000 0.5000  0.26
Y 0.7491 0.7463 0.0111  0.16
Y 0.2482 0.7507 0.4992  0.19
Y 0.2463 0.2491 0.5111  0.16
Y 0.7518 0.2493 0.5008  0.19
Y 0.2509 0.2537 0.9889  0.16
Y 0.7536 0.7509 0.4889  0.16
Y 0.7493 0.2518 0.0008  0.19
Y 0.2507 0.7482 0.9992  0.19
Ca 0.0000 0.0000 0.0000  0.02
Ca 0.5000 0.5000 0.5000  0.02

Calculated values
- ΔH_f (0 K): 0.423 eV/atom
- M_tot: 4.86 μB/cell
- Electronic total energy: -4.8261 eV per atom
- DOS at the Fermi energy: 2.1526 states/eV per atom



Here is NiOs3 after structural relaxation from Alexandria. Energies are from PBE.

abc: 4.8200 4.8200 4.8200
angles: 90.00 90.00 90.00
Element x y z (fractional)
Os 0.0000 0.2500 0.5000
Os 0.7500 0.5000 0.0000
Os 0.5000 0.0000 0.7500
Os 0.0000 0.7500 0.5000
Os 0.2500 0.5000 0.0000
Os 0.5000 0.0000 0.2500
Ni 0.0000 0.0000 0.0000
Ni 0.5000 0.5000 0.5000

Calculated values
- ΔH_f (0 K): 0.564 eV/atom
- M_tot: 0.00 μB/cell
- Electronic total energy: -9.3034 eV per atom
- DOS at the Fermi energy: 1.1687 states/eV per atom



Here is SrP2Br after structural relaxation from Alexandria. Energies are from PBE.

abc: 5.1678 5.1678 5.1678
angles: 60.00 60.00 60.00
Element x y z (fractional)
P 0.7500 0.7500 0.7500
P 0.2500 0.2500 0.2500
Br 0.0000 0.0000 0.0000
Sr 0.5000 0.5000 0.5000

Calculated values
- Excess energy over the best structure of this formula in the dataset: 1157.8 meV/atom
- M_tot: 0.00 μB/cell
- Formation energy without anion corrections: 1.32 eV/f.u.
- Electronic total energy: -3.2129 eV per atom
- DOS at the Fermi energy: 1.7153 states/eV per atom



Here is Li2Er2ZrSe6 after structural relaxation from Alexandria. Energies are from PBE.

abc: 6.8820 6.8820 6.8843
angles: 99.47 99.47 119.59
Element x y z (fractional)
Se 0.5979 0.9212 0.2539
Se 0.9212 0.5979 0.2539
Se 0.2381 0.2381 0.2550
Se 0.0788 0.4021 0.7461
Se 0.4021 0.0788 0.7461
Se 0.7619 0.7619 0.7450
Er 0.6663 0.3337 0.5000
Er 0.3337 0.6663 0.5000
Zr 0.0000 0.0000 0.5000
Li 0.8345 0.1655 0.0000
Li 0.1655 0.8345 0.0000

Calculated values
- M_tot: 0.00 μB/cell
- Formation energy without anion corrections: -17.38 eV/f.u.
- Electronic total energy: -5.4357 eV per atom



Here is Pr13Nd2 after structural relaxation from Alexandria. Energies are from PBE.

abc: 6.8840 9.2787 9.2789
angles: 113.18 82.52 97.48
Element x y z (fractional)
Pr 0.3996 0.6004 0.4008
Pr 0.1001 0.5656 0.7658
Pr 0.8009 0.1989 0.7986
Pr 0.8999 0.4344 0.2342
Pr 0.6995 0.9661 0.3660
Pr 0.2994 0.3676 0.9679
Pr 0.7006 0.6324 0.0321
Pr 0.0000 0.0000 0.0000
Pr 0.6004 0.3996 0.5992
Pr 0.4992 0.8327 0.8334
Pr 0.1991 0.8011 0.2014
Pr 0.3005 0.0339 0.6340
Pr 0.5008 0.1673 0.1666
Nd 0.9001 0.7674 0.5677
Nd 0.0999 0.2326 0.4323

Calculated values
- ΔH_f (0 K): 0.049 eV/atom
- M_tot: 0.00 μB/cell
- Electronic total energy: -4.7287 eV per atom
- DOS at the Fermi energy: 1.5485 states/eV per atom



Here is Li2Zn2GaPd5 after structural relaxation from Alexandria. Energies are from PBE.

abc: 3.7063 9.2592 9.2592
angles: 90.00 90.00 90.00
Element x y z (fractional)
Pd 0.5000 0.8058 0.9222
Pd 0.5000 0.9222 0.1942
Pd 0.5000 0.5778 0.6942
Pd 0.5000 0.0000 0.5000
Pd 0.5000 0.6942 0.4222
Pd 0.5000 0.1942 0.0778
Pd 0.5000 0.0778 0.8058
Pd 0.5000 0.3058 0.5778
Pd 0.5000 0.4222 0.3058
Pd 0.5000 0.5000 0.0000
Zn 0.0000 0.8707 0.3707
Zn 0.0000 0.6293 0.8707
Zn 0.0000 0.1293 0.6293
Zn 0.0000 0.3707 0.1293
Li 0.0000 0.6682 0.1682
Li 0.0000 0.1682 0.3318
Li 0.0000 0.3318 0.8318
Li 0.0000 0.8318 0.6682
Ga 0.0000 0.5000 0.5000
Ga 0.0000 0.0000 0.0000

Calculated values
- ΔH_f (0 K): -0.456 eV/atom
- M_tot: 0.00 μB/cell
- Electronic total energy: -3.9930 eV per atom
- DOS at the Fermi energy: 0.2913 states/eV per atom



Here is RbNaGaAu2 after structural relaxation from Alexandria. Energies are from PBE.

abc: 5.0814 5.0814 5.5317
angles: 90.00 90.00 90.00
Element x y z (fractional)
Na 0.0000 0.0000 0.5000
Au 0.0000 0.5000 0.0000
Au 0.5000 0.0000 0.0000
Ga 0.0000 0.0000 0.0000
Rb 0.5000 0.5000 0.5000

Calculated values
- Excess energy over the best structure of this formula in the dataset: 0.0 meV/atom
- ΔH_f (0 K): -0.168 eV/atom
- M_tot: 0.00 μB/cell
- Electronic total energy: -2.5413 eV per atom
- DOS at the Fermi energy: 0.3452 states/eV per atom



Here is Ac2NpGe3Ir4 after structural relaxation from Alexandria. Energies are from PBE.

abc: 4.3390 4.3390 11.1127
angles: 90.00 90.00 90.00
Site moments in Bohr magnetons follow the coordinates.
Element x y z (fractional)
Ge 0.0000 0.0000 0.5000  -0.03
Ge 0.5000 0.0000 0.8795  0.00
Ge 0.0000 0.5000 0.1205  0.00
Np 0.5000 0.5000 0.5000  3.45
Ac 0.0000 0.5000 0.7641  0.04
Ac 0.5000 0.0000 0.2359  0.04
Ir 0.0000 0.0000 0.0000  0.00
Ir 0.0000 0.5000 0.3514  -0.11
Ir 0.5000 0.5000 0.0000  0.00
Ir 0.5000 0.0000 0.6486  -0.11

Calculated values
- ΔH_f (0 K): -0.665 eV/atom
- M_tot: 3.62 μB/cell
- Electronic total energy: -7.7099 eV per atom
- DOS at the Fermi energy: 0.7668 states/eV per atom



Here is Ta3ReSe after structural relaxation from Alexandria. Energies are from PBE.

abc: 4.8757 4.8757 4.8757
angles: 90.00 90.00 90.00
Element x y z (fractional)
Re 0.0000 0.0000 0.0000
Ta 0.0000 0.0000 0.5000
Ta 0.5000 0.0000 0.0000
Ta 0.0000 0.5000 0.0000
Se 0.5000 0.5000 0.5000

Calculated values
- Excess energy over the best structure of this formula in the dataset: 29.6 meV/atom
- M_tot: 0.00 μB/cell
- Formation energy without anion corrections: 6.36 eV/f.u.
- Electronic total energy: -9.0256 eV per atom
- DOS at the Fermi energy: 0.9900 states/eV per atom



Here is CrGaPdRh after structural relaxation from Alexandria. Energies are from PBE.

abc: 4.3388 4.3388 4.3388
angles: 60.00 60.00 60.00
Site moments in Bohr magnetons follow the coordinates.
Element x y z (fractional)
Ga 0.2500 0.2500 0.2500  -0.01
Pd 0.0000 0.0000 0.0000  0.23
Cr 0.7500 0.7500 0.7500  3.10
Rh 0.5000 0.5000 0.5000  0.25

Calculated values
- ΔH_f (0 K): -0.326 eV/atom
- M_tot: 3.81 μB/cell
- Electronic total energy: -6.6241 eV per atom
- DOS at the Fermi energy: 0.8054 states/eV per atom



Here is KCaF3 after structural relaxation from Alexandria. Energies are from PBE.

abc: 4.6362 4.6362 4.6362
angles: 90.00 90.00 90.00
Element x y z (fractional)
F 0.5000 0.0000 0.0000
F 0.0000 0.5000 0.0000
F 0.0000 0.0000 0.5000
Ca 0.5000 0.5000 0.5000
K 0.0000 0.0000 0.0000

Calculated values
- M_tot: 0.00 μB/cell
- Formation energy without anion corrections: -12.43 eV/f.u.
- Electronic total energy: -4.2280 eV per atom
- DOS at the Fermi energy: 0.0000 states/eV per atom



Here is Al2InBi after structural relaxation from Alexandria. Energies are from PBE.

abc: 6.6690 6.6690 7.5341
angles: 63.73 63.73 90.00
Element x y z (fractional)
In 0.2500 0.7500 0.5000
In 0.5000 0.5000 0.0000
Al 0.1288 0.6250 0.2500
Al 0.6212 0.1250 0.2500
Al 0.3750 0.3788 0.7500
Al 0.8750 0.8712 0.7500
Bi 0.0000 0.0000 0.0000
Bi 0.7500 0.2500 0.5000

Calculated values
- ΔH_f (0 K): 0.353 eV/atom
- M_tot: 0.00 μB/cell
- Electronic total energy: -3.1730 eV per atom
- DOS at the Fermi energy: 0.4369 states/eV per atom



Here is Rb2HfBr after structural relaxation from Alexandria. Energies are from PBE.

abc: 6.4155 6.4155 6.4155
angles: 60.00 60.00 60.00
Site moments in Bohr magnetons follow the coordinates.
Element x y z (fractional)
Hf 0.5000 0.5000 0.5000  1.58
Br 0.0000 0.0000 0.0000  0.01
Rb 0.7500 0.7500 0.7500  0.04
Rb 0.2500 0.2500 0.2500  0.04

Calculated values
- Excess energy over the best structure of this formula in the dataset: 202.0 meV/atom
- M_tot: 3.00 μB/cell
- Formation energy without anion corrections: 2.36 eV/f.u.
- Electronic total energy: -2.7999 eV per atom
- DOS at the Fermi energy: 2.0187 states/eV per atom



Here is AcEuErSn after structural relaxation from Alexandria. Energies are from PBE.

abc: 5.6498 5.6498 5.6498
angles: 60.00 60.00 60.00
Site moments in Bohr magnetons follow the coordinates.
Element x y z (fractional)
Eu 0.0000 0.0000 0.0000  6.93
Ac 0.7500 0.7500 0.7500  0.21
Er 0.5000 0.5000 0.5000  0.27
Sn 0.2500 0.2500 0.2500  -0.03

Calculated values
- ΔH_f (0 K): -0.140 eV/atom
- M_tot: 8.08 μB/cell
- Electronic total energy: -5.8775 eV per atom
- DOS at the Fermi energy: 1.4367 states/eV per atom



Here is Ho3Ga8Pd3 after structural relaxation from Alexandria. Energies are from PBE.

abc: 4.2401 8.1519 8.1519
angles: 73.81 74.93 74.93
Element x y z (fractional)
Pd 0.0000 0.2112 0.7888
Pd 0.0000 0.7888 0.2112
Pd 0.5000 0.0000 0.0000
Ga 0.1649 0.2063 0.4639
Ga 0.8351 0.7937 0.5361
Ga 0.6298 0.6516 0.0889
Ga 0.8351 0.5361 0.7937
Ga 0.6298 0.0889 0.6516
Ga 0.3702 0.3484 0.9111
Ga 0.3702 0.9111 0.3484
Ga 0.1649 0.4639 0.2063
Ho 0.8161 0.1839 0.1839
Ho 0.1839 0.8161 0.8161
Ho 0.5000 0.5000 0.5000

Calculated values
- Excess energy over the best structure of this formula in the dataset: 0.0 meV/atom
- ΔH_f (0 K): -0.706 eV/atom
- M_tot: 0.00 μB/cell
- Electronic total energy: -4.5292 eV per atom
- DOS at the Fermi energy: 0.4656 states/eV per atom



Here is Ba2PdRhBr after structural relaxation from Alexandria. Energies are from PBE.

abc: 6.1699 4.7685 6.1699
angles: 90.00 90.00 90.00
Element x y z (fractional)
Pd 0.0000 0.0000 0.0000
Ba 0.5000 0.0000 0.0000
Ba 0.0000 0.0000 0.5000
Br 0.5000 0.5000 0.5000
Rh 0.0000 0.5000 0.0000

Calculated values
- Excess energy over the best structure of this formula in the dataset: 0.0 meV/atom
- M_tot: 0.00 μB/cell
- Formation energy without anion corrections: -2.24 eV/f.u.
- Electronic total energy: -4.0600 eV per atom
- DOS at the Fermi energy: 0.5658 states/eV per atom



Here is Rb2Na after structural relaxation from Alexandria. Energies are from PBE.

abc: 8.0203 8.3300 8.3300
angles: 76.60 61.22 61.22
Element x y z (fractional)
Rb 0.3368 0.8265 0.5000
Rb 0.1632 0.5000 0.1735
Rb 0.8368 0.5000 0.8265
Rb 0.6632 0.1735 0.5000
Na 0.7500 0.0000 0.0000
Na 0.2500 0.0000 0.0000

Calculated values
- Excess energy over the best structure of this formula in the dataset: 0.0 meV/atom
- ΔH_f (0 K): 0.019 eV/atom
- M_tot: 0.00 μB/cell
- Electronic total energy: -1.0657 eV per atom
- DOS at the Fermi energy: 0.7737 states/eV per atom



Here is NaPrAg4 after structural relaxation from Alexandria. Energies are from PBE.

abc: 5.7244 5.7244 5.7244
angles: 60.00 60.00 60.00
Element x y z (fractional)
Ag 0.6258 0.6258 0.1226
Ag 0.6258 0.1226 0.6258
Ag 0.1226 0.6258 0.6258
Ag 0.6258 0.6258 0.6258
Na 0.0000 0.0000 0.0000
Pr 0.2500 0.2500 0.2500

Calculated values
- ΔH_f (0 K): -0.123 eV/atom
- M_tot: 0.00 μB/cell
- Electronic total energy: -3.0405 eV per atom
- DOS at the Fermi energy: 1.1489 states/eV per atom



Here is SrMgW2 after structural relaxation from Alexandria. Energies are from PBE.

abc: 3.6373 3.6373 7.0484
angles: 90.00 90.00 90.00
Element x y z (fractional)
Sr 0.5000 0.5000 0.7500
W 0.0000 0.0000 0.0870
W 0.0000 0.0000 0.4130
Mg 0.5000 0.5000 0.2500

Calculated values
- ΔH_f (0 K): 1.059 eV/atom
- M_tot: 0.00 μB/cell
- Electronic total energy: -6.2369 eV per atom
- DOS at the Fermi energy: 1.0221 states/eV per atom



Here is PuGe4Rh6 after structural relaxation from Alexandria. Energies are from PBE.

abc: 7.6486 7.6486 7.6486
angles: 57.24 140.41 140.41
Site moments in Bohr magnetons follow the coordinates.
Element x y z (fractional)
Rh 0.0000 0.9576 0.4007  -0.04
Rh 0.5569 0.5993 0.5993  -0.04
Rh 0.5000 0.0000 0.5000  -0.14
Rh 0.4431 0.0424 0.0424  -0.04
Rh 0.0000 0.4007 0.9576  -0.04
Rh 0.5000 0.5000 0.0000  -0.14
Pu 0.0000 0.0000 0.0000  4.40
Ge 0.3876 0.8334 0.8334  -0.01
Ge 0.0000 0.1666 0.5542  -0.01
Ge 0.0000 0.5542 0.1666  -0.01
Ge 0.6124 0.4458 0.4458  -0.01

Calculated values
- Excess energy over the best structure of this formula in the dataset: 287.7 meV/atom
- ΔH_f (0 K): -0.362 eV/atom
- M_tot: 3.96 μB/cell
- Electronic total energy: -7.3537 eV per atom
- DOS at the Fermi energy: 1.0507 states/eV per atom



Here is NdEr4Al2 after structural relaxation from Alexandria. Energies are from PBE.

abc: 5.6112 5.6112 7.5024
angles: 111.96 111.96 90.00
Element x y z (fractional)
Al 0.6156 0.6156 0.2311
Al 0.3844 0.3844 0.7689
Er 0.2500 0.7500 0.5000
Er 0.5000 0.0000 0.0000
Er 0.7500 0.2500 0.5000
Er 0.0000 0.5000 0.0000
Nd 0.0000 0.0000 0.0000

Calculated values
- Excess energy over the best structure of this formula in the dataset: 493.1 meV/atom
- ΔH_f (0 K): 0.287 eV/atom
- M_tot: 0.00 μB/cell
- Electronic total energy: -4.0706 eV per atom
- DOS at the Fermi energy: 1.2551 states/eV per atom



Here is Mg2Os after structural relaxation from Alexandria. Energies are from PBE.

abc: 4.5699 4.5699 2.7022
angles: 90.00 90.00 120.00
Element x y z (fractional)
Mg 0.3333 0.6667 0.3458
Mg 0.6667 0.3333 0.6542
Os 0.0000 0.0000 0.0000

Calculated values
- ΔH_f (0 K): 0.143 eV/atom
- M_tot: 0.00 μB/cell
- Electronic total energy: -4.6632 eV per atom
- DOS at the Fermi energy: 0.5055 states/eV per atom



Here is CrSiP2 after structural relaxation from Alexandria. Energies are from PBE.

abc: 4.3329 4.3329 4.7679
angles: 88.21 88.21 40.84
Element x y z (fractional)
Si 0.4682 0.4682 0.5574
Cr 0.7408 0.7408 0.6845
P 0.0614 0.0614 0.9446
P 0.2296 0.2296 0.3134

Calculated values
- M_tot: 0.00 μB/cell
- Formation energy without anion corrections: 0.44 eV/f.u.
- Electronic total energy: -6.3553 eV per atom
- DOS at the Fermi energy: 0.2998 states/eV per atom



Here is Rb3LiAl after structural relaxation from Alexandria. Energies are from PBE.

abc: 7.0346 7.0346 7.0346
angles: 90.00 90.00 90.00
Element x y z (fractional)
Li 0.5000 0.5000 0.5000
Al 0.0000 0.0000 0.0000
Rb 0.5000 0.0000 0.0000
Rb 0.0000 0.5000 0.0000
Rb 0.0000 0.0000 0.5000

Calculated values
- Excess energy over the best structure of this formula in the dataset: 0.0 meV/atom
- ΔH_f (0 K): 0.462 eV/atom
- M_tot: 0.00 μB/cell
- Electronic total energy: -1.2502 eV per atom
- DOS at the Fermi energy: 1.1160 states/eV per atom



Here is CsRbCaBr4 after structural relaxation from Alexandria. Energies are from PBE.

abc: 5.7234 5.7234 9.8056
angles: 106.97 106.97 90.00
Element x y z (fractional)
Br 0.1633 0.1633 0.3266
Br 0.9975 0.4975 0.9950
Br 0.8397 0.8397 0.6795
Br 0.4975 0.9975 0.9950
Ca 0.0006 0.0006 0.0012
Rb 0.3587 0.3587 0.7175
Cs 0.6427 0.6427 0.2853

Calculated values
- M_tot: 0.00 μB/cell
- Formation energy without anion corrections: -13.29 eV/f.u.
- Electronic total energy: -3.3999 eV per atom
- DOS at the Fermi energy: 0.0000 states/eV per atom